## MnCuCSBr (PBE)

Data for a relaxed structure of MnCuCSBr.

Unit cell a=4.300 b=3.222 c=6.210 alpha=90.00 beta=103.50 gamma=90.00
Atoms (fractional coordinates):
1 Mn 0.000 0.000 0.000
2 Cu 0.420 0.000 0.335
3 C 0.311 0.500 0.117
4 S 0.582 0.500 0.948
5 Br 0.950 0.000 0.571

Properties
ΔE to the lowest computed polymorph, meV per atom: 68
ΔE_f (raw), meV/atom: 182
Raw total energy, eV per atom: -5.476
D(E_F), states/eV/cell: 1.7
Mass density, kg/m3: 4813